No. 1
Density functional theory data (PBE) for an optimized crystal structure of Tb2PuSn.

Unit cell a=5.3813 b=5.3813 c=5.3813 alpha=60.00 beta=60.00 gamma=60.00
Each line ends with the local moment (μB).
Atoms (fractional coordinates):
Tb  0.2500  0.2500  0.2500  0.32
Tb  0.7500  0.7500  0.7500  0.32
Sn  0.0000  0.0000  0.0000  -0.07
Pu  0.5000  0.5000  0.5000  5.70

Values from the calculation:
- Energy above the most stable polymorph in this dataset: 0.150 eV per atom
- Energy of formation: -0.172 eV per atom


No. 2
Density functional theory data (PBE) for an optimized crystal structure of LiGa5Pt.

Unit cell a=4.4828 b=4.4828 c=5.9721 alpha=90.00 beta=90.00 gamma=90.00
Atoms (fractional coordinates):
Li  0.0000  0.0000  0.0000
Ga  0.5000  0.0000  0.7307
Ga  0.0000  0.5000  0.7307
Ga  0.5000  0.5000  0.0000
Ga  0.0000  0.5000  0.2693
Ga  0.5000  0.0000  0.2693
Pt  0.0000  0.0000  0.5000

Values from the calculation:
- Energy of formation: -0.366 eV per atom


No. 3
Density functional theory data (PBE) for an optimized crystal structure of BaLa2Cu2.

Unit cell a=8.7674 b=8.7674 c=3.6085 alpha=90.00 beta=90.00 gamma=90.00
Atoms (fractional coordinates):
Ba  0.0000  0.0000  0.0000
Ba  0.5000  0.5000  0.0000
Cu  0.1576  0.6576  0.5000
Cu  0.6576  0.8424  0.5000
Cu  0.8424  0.3424  0.5000
Cu  0.3424  0.1576  0.5000
La  0.3644  0.8644  0.0000
La  0.8644  0.6356  0.0000
La  0.6356  0.1356  0.0000
La  0.1356  0.3644  0.0000

Values from the calculation:
- Energy above the most stable polymorph in this dataset: 0.024 eV per atom
- Energy of formation: 0.034 eV per atom


No. 4
Density functional theory data (PBE) for an optimized crystal structure of SrReSCl2.

Unit cell a=5.0364 b=5.0364 c=4.5376 alpha=90.00 beta=90.00 gamma=90.00
Atoms (fractional coordinates):
Re  0.0000  0.0000  0.0000
S  0.0000  0.0000  0.5000
Cl  0.0000  0.5000  0.0000
Cl  0.5000  0.0000  0.0000
Sr  0.5000  0.5000  0.5000

Values from the calculation:
- Energy above the most stable polymorph in this dataset: 0.000 eV per atom
- ΔE_f (raw): -0.61 eV/atom


No. 5
Density functional theory data (PBE) for an optimized crystal structure of ScPtS2.

Unit cell a=7.7379 b=7.7379 c=7.7379 alpha=27.05 beta=27.05 gamma=27.05
Atoms (fractional coordinates):
Sc  0.5000  0.5000  0.5000
S  0.8985  0.8985  0.8985
S  0.1015  0.1015  0.1015
Pt  0.0000  0.0000  0.0000

Values from the calculation:
- Energy above the most stable polymorph in this dataset: 0.000 eV per atom
- ΔE_f (raw): -0.93 eV/atom


No. 6
Density functional theory data (PBE) for an optimized crystal structure of ScTi3Pb.

Unit cell a=4.7771 b=4.7771 c=4.7771 alpha=90.00 beta=90.00 gamma=90.00
Each line ends with the local moment (μB).
Atoms (fractional coordinates):
Pb  0.5000  0.5000  0.5000  -0.02
Sc  0.0000  0.0000  0.0000  0.15
Ti  0.0000  0.5000  0.0000  0.56
Ti  0.0000  0.0000  0.5000  0.38
Ti  0.5000  0.0000  0.0000  0.71

Values from the calculation:
- Energy above the most stable polymorph in this dataset: 0.000 eV per atom
- Energy of formation: 1.039 eV per atom


No. 7
Density functional theory data (PBE) for an optimized crystal structure of CaThAlIn.

Unit cell a=5.3539 b=5.3539 c=5.3539 alpha=60.00 beta=60.00 gamma=60.00
Atoms (fractional coordinates):
Ca  0.7500  0.7500  0.7500
Al  0.5000  0.5000  0.5000
Th  0.2500  0.2500  0.2500
In  0.0000  0.0000  0.0000

Values from the calculation:
- Energy of formation: -0.219 eV per atom


No. 8
Density functional theory data (PBE) for an optimized crystal structure of BaInAsC2.

Unit cell a=4.5146 b=5.1908 c=4.5146 alpha=90.00 beta=90.00 gamma=90.00
Atoms (fractional coordinates):
C  0.0000  0.0000  0.5000
C  0.5000  0.0000  0.0000
As  0.0000  0.0000  0.0000
Ba  0.5000  0.5000  0.5000
In  0.0000  0.5000  0.0000

Values from the calculation:
- Energy of formation: 1.677 eV per atom


No. 9
Density functional theory data (PBE) for an optimized crystal structure of SrCaRe2.

Unit cell a=4.2121 b=4.2121 c=8.6608 alpha=76.01 beta=76.01 gamma=59.97
Atoms (fractional coordinates):
Re  0.0334  0.0334  0.8999
Re  0.7119  0.7119  0.8642
Ca  0.2891  0.2891  0.1343
Sr  0.4657  0.4657  0.6016

Values from the calculation:
- Energy above the most stable polymorph in this dataset: 0.000 eV per atom
- Energy of formation: 0.324 eV per atom


No. 10
Density functional theory data (PBE) for an optimized crystal structure of Sb2PtAu.

Unit cell a=6.0516 b=6.0516 c=6.0516 alpha=149.38 beta=129.86 gamma=59.90
Atoms (fractional coordinates):
Au  0.4790  0.4790  0.0000
Pt  0.2483  0.7483  0.5000
Sb  0.0321  0.0321  0.0000
Sb  0.7406  0.2406  0.5000

Values from the calculation:
- Energy above the most stable polymorph in this dataset: 0.244 eV per atom
- ΔE_f (raw): 0.03 eV/atom


No. 11
Density functional theory data (PBE) for an optimized crystal structure of HfCrW.

Unit cell a=5.8196 b=4.2915 c=9.7207 alpha=90.00 beta=125.68 gamma=90.00
Atoms (fractional coordinates):
Cr  0.2817  0.0000  0.5204
Cr  0.7183  0.0000  0.4796
Cr  0.2817  0.5000  0.0204
Cr  0.7183  0.5000  0.9796
Hf  0.9249  0.0000  0.8309
Hf  0.0751  0.0000  0.1691
Hf  0.9249  0.5000  0.3309
Hf  0.0751  0.5000  0.6691
W  0.5583  0.0000  0.1551
W  0.4417  0.0000  0.8449
W  0.5583  0.5000  0.6551
W  0.4417  0.5000  0.3449

Values from the calculation:
- Energy above the most stable polymorph in this dataset: 0.285 eV per atom
- Energy of formation: 0.152 eV per atom


No. 12
Density functional theory data (PBE) for an optimized crystal structure of La2Al4Cu3Hg.

Unit cell a=4.3636 b=4.3636 c=10.4363 alpha=90.00 beta=90.00 gamma=90.00
Atoms (fractional coordinates):
La  0.5000  0.0000  0.2445
La  0.0000  0.5000  0.7555
Al  0.5000  0.5000  0.0000
Al  0.0000  0.0000  0.0000
Al  0.5000  0.0000  0.6452
Al  0.0000  0.5000  0.3548
Cu  0.0000  0.0000  0.5000
Cu  0.5000  0.0000  0.8791
Cu  0.0000  0.5000  0.1209
Hg  0.5000  0.5000  0.5000

Values from the calculation:
- Energy of formation: -0.393 eV per atom


No. 13
Density functional theory data (PBE) for an optimized crystal structure of Ba3Tl8Ag3.

Unit cell a=5.3878 b=9.6816 c=9.7151 alpha=63.30 beta=73.90 gamma=73.84
Atoms (fractional coordinates):
Ba  0.2870  0.7127  0.7132
Ba  0.7130  0.2873  0.2868
Ba  0.0000  0.0000  0.0000
Tl  0.1417  0.1545  0.5621
Tl  0.8583  0.8455  0.4379
Tl  0.8538  0.4359  0.8566
Tl  0.1462  0.5641  0.1434
Tl  0.5040  0.6642  0.3278
Tl  0.4960  0.3358  0.6722
Tl  0.3487  0.0257  0.2770
Tl  0.6513  0.9743  0.7230
Ag  0.0000  0.5000  0.5000
Ag  0.6548  0.6900  0.0004
Ag  0.3452  0.3100  0.9996

Values from the calculation:
- Energy above the most stable polymorph in this dataset: 0.000 eV per atom
- Energy of formation: -0.219 eV per atom


No. 14
Density functional theory data (PBE) for an optimized crystal structure of ReIr2Os2.

Unit cell a=4.1106 b=4.8436 c=4.8436 alpha=70.88 beta=64.89 gamma=64.89
Atoms (fractional coordinates):
Re  0.0000  0.0000  0.0000
Ir  0.8090  0.6910  0.6910
Ir  0.1910  0.3090  0.3090
Os  0.5000  0.2827  0.7173
Os  0.5000  0.7173  0.2827

Values from the calculation:
- Energy above the most stable polymorph in this dataset: 0.465 eV per atom
- Energy of formation: 0.451 eV per atom


No. 15
Density functional theory data (PBE) for an optimized crystal structure of Co3HS.

Unit cell a=3.5988 b=3.5988 c=3.5988 alpha=90.00 beta=90.00 gamma=90.00
Each line ends with the local moment (μB).
Atoms (fractional coordinates):
H  0.0000  0.0000  0.0000  -0.01
S  0.5000  0.5000  0.5000  0.10
Co  0.0000  0.5000  0.0000  1.26
Co  0.0000  0.0000  0.5000  1.03
Co  0.5000  0.0000  0.0000  1.03

Values from the calculation:
- Energy above the most stable polymorph in this dataset: 0.000 eV per atom


No. 16
Density functional theory data (PBE) for an optimized crystal structure of Rb3Na2HoF9.

Unit cell a=6.2782 b=6.2782 c=7.9441 alpha=90.00 beta=90.00 gamma=120.00
Each line ends with the local moment (μB).
Atoms (fractional coordinates):
Rb  0.3333  0.6667  0.6933  0.00
Rb  0.0000  0.0000  0.0000  0.00
Rb  0.6667  0.3333  0.3067  0.00
Na  0.3333  0.6667  0.1815  0.00
Na  0.6667  0.3333  0.8185  0.00
Ho  0.0000  0.0000  0.5000  -0.01
F  0.8391  0.1609  0.6607  0.04
F  0.8391  0.6783  0.6607  0.04
F  0.3217  0.1609  0.6607  0.04
F  0.6783  0.8391  0.3393  0.04
F  0.1609  0.3217  0.3393  0.04
F  0.1609  0.8391  0.3393  0.04
F  0.5000  0.0000  0.0000  0.28
F  0.0000  0.5000  0.0000  0.28
F  0.5000  0.5000  0.0000  0.28

Values from the calculation:
- ΔE_f (raw): -2.95 eV/atom


No. 17
Density functional theory data (PBE) for an optimized crystal structure of CaV2Co.

Unit cell a=4.3908 b=4.3908 c=4.3908 alpha=60.00 beta=60.00 gamma=60.00
Atoms (fractional coordinates):
Ca  0.0000  0.0000  0.0000
Co  0.5000  0.5000  0.5000
V  0.2500  0.2500  0.2500
V  0.7500  0.7500  0.7500

Values from the calculation:
- Energy above the most stable polymorph in this dataset: 0.000 eV per atom
- Energy of formation: 0.802 eV per atom


No. 18
Density functional theory data (PBE) for an optimized crystal structure of Ho2GaRu5W2.

Unit cell a=3.1588 b=10.5465 c=10.5465 alpha=90.00 beta=90.00 gamma=90.00
Atoms (fractional coordinates):
Ho  0.0000  0.6680  0.1680
Ho  0.0000  0.3320  0.8320
Ho  0.0000  0.1680  0.3320
Ho  0.0000  0.8320  0.6680
Ga  0.0000  0.0000  0.0000
Ga  0.0000  0.5000  0.5000
Ru  0.5000  0.1922  0.0594
Ru  0.5000  0.8078  0.9406
Ru  0.5000  0.0594  0.8078
Ru  0.5000  0.6922  0.4406
Ru  0.5000  0.9406  0.1922
Ru  0.5000  0.3078  0.5594
Ru  0.5000  0.5594  0.6922
Ru  0.5000  0.4406  0.3078
Ru  0.5000  0.5000  0.0000
Ru  0.5000  0.0000  0.5000
W  0.0000  0.1394  0.6394
W  0.0000  0.8606  0.3606
W  0.0000  0.6394  0.8606
W  0.0000  0.3606  0.1394

Values from the calculation:
- Energy of formation: -0.063 eV per atom


No. 19
Density functional theory data (PBE) for an optimized crystal structure of Sr2TlCu.

Unit cell a=6.6298 b=6.6298 c=5.5133 alpha=65.48 beta=65.48 gamma=34.47
Atoms (fractional coordinates):
Cu  0.2235  0.2235  0.2763
Sr  0.9637  0.9637  0.0363
Sr  0.7622  0.7622  0.7378
Tl  0.5506  0.5506  0.4496

Values from the calculation:
- Energy of formation: -0.108 eV per atom


No. 20
Density functional theory data (PBE) for an optimized crystal structure of YSiNi.

Unit cell a=5.0374 b=5.6385 c=7.5091 alpha=90.00 beta=90.00 gamma=90.00
Atoms (fractional coordinates):
Y  0.2500  0.2815  0.6029
Y  0.7500  0.2185  0.1029
Y  0.7500  0.7185  0.3971
Y  0.2500  0.7815  0.8971
Ni  0.2500  0.2929  0.9864
Ni  0.7500  0.2071  0.4864
Ni  0.7500  0.7071  0.0136
Ni  0.2500  0.7929  0.5136
Si  0.2500  0.0211  0.2547
Si  0.7500  0.4789  0.7547
Si  0.7500  0.9789  0.7453
Si  0.2500  0.5211  0.2453

Values from the calculation:
- ΔE_f (raw): -0.43 eV/atom


No. 21
Density functional theory data (PBE) for an optimized crystal structure of YErP2.

Unit cell a=5.6405 b=5.6405 c=6.9139 alpha=114.07 beta=114.07 gamma=90.00
Atoms (fractional coordinates):
Y  0.7500  0.2500  0.5000
Y  0.0000  0.0000  0.0000
Er  0.5000  0.5000  0.0000
Er  0.2500  0.7500  0.5000
P  0.7487  0.7487  0.4975
P  0.4987  0.9987  0.9975
P  0.2513  0.2513  0.5025
P  0.0013  0.5013  0.0025

Values from the calculation:
- Energy above the most stable polymorph in this dataset: 0.000 eV per atom
- Energy of formation: -1.622 eV per atom


No. 22
Density functional theory data (PBE) for an optimized crystal structure of Ca3NiSn4.

Unit cell a=6.2230 b=6.1443 c=11.1571 alpha=90.00 beta=90.00 gamma=90.00
Atoms (fractional coordinates):
Ni  0.6750  0.5000  0.0000
Ni  0.3250  0.0000  0.5000
Ca  0.5507  0.0000  0.0000
Ca  0.4493  0.5000  0.5000
Ca  0.8428  0.5000  0.7591
Ca  0.8428  0.5000  0.2409
Ca  0.1572  0.0000  0.7409
Ca  0.1572  0.0000  0.2591
Sn  0.3577  0.5000  0.8459
Sn  0.3577  0.5000  0.1541
Sn  0.0181  0.2442  0.0000
Sn  0.0181  0.7558  0.0000
Sn  0.9819  0.7442  0.5000
Sn  0.9819  0.2558  0.5000
Sn  0.6423  0.0000  0.3459
Sn  0.6423  0.0000  0.6541

Values from the calculation:
- Energy of formation: -0.466 eV per atom


No. 23
Density functional theory data (PBE) for an optimized crystal structure of Dy5TlSb2.

Unit cell a=5.7208 b=6.4321 c=14.6783 alpha=90.00 beta=90.00 gamma=116.40
Atoms (fractional coordinates):
Dy  0.9263  0.8526  0.9009
Dy  0.9263  0.8526  0.5991
Dy  0.3782  0.7564  0.4504
Dy  0.3782  0.7564  0.0496
Dy  0.5940  0.1880  0.2500
Dy  0.4060  0.8120  0.7500
Dy  0.6218  0.2436  0.5496
Dy  0.6218  0.2436  0.9504
Dy  0.0737  0.1474  0.0991
Dy  0.0737  0.1474  0.4009
Tl  0.7001  0.4001  0.7500
Tl  0.2999  0.5999  0.2500
Sb  0.7991  0.5981  0.3916
Sb  0.7991  0.5981  0.1084
Sb  0.2009  0.4019  0.6084
Sb  0.2009  0.4019  0.8916

Values from the calculation:
- ΔE_f (raw): -0.36 eV/atom


No. 24
Density functional theory data (PBE) for an optimized crystal structure of Pm12SnRu6.

Unit cell a=8.6878 b=8.6878 c=8.6878 alpha=108.27 beta=108.27 gamma=108.27
Atoms (fractional coordinates):
Pm  0.8520  0.6102  0.5409
Pm  0.5409  0.8520  0.6102
Pm  0.6102  0.5409  0.8520
Pm  0.1480  0.3898  0.4591
Pm  0.4591  0.1480  0.3898
Pm  0.3898  0.4591  0.1480
Pm  0.0388  0.8630  0.3317
Pm  0.1370  0.6683  0.9612
Pm  0.6683  0.9612  0.1370
Pm  0.9612  0.1370  0.6683
Pm  0.8630  0.3317  0.0388
Pm  0.3317  0.0388  0.8630
Sn  0.0000  0.0000  0.0000
Ru  0.7070  0.7935  0.3681
Ru  0.6319  0.2930  0.2065
Ru  0.2065  0.6319  0.2930
Ru  0.2930  0.2065  0.6319
Ru  0.3681  0.7070  0.7935
Ru  0.7935  0.3681  0.7070

Values from the calculation:
- Energy above the most stable polymorph in this dataset: 0.063 eV per atom
- Energy of formation: -0.177 eV per atom


M_tot (μB/atom)
1.677 0.000 0.000 0.012 0.000 0.456 0.000 0.000 0.000 0.000 0.000 0.000 0.000 0.000 0.671 0.082 0.000 0.000 0.000 0.000 0.000 0.000 0.000 0.000
VASP energy (eV per atom)
-7.07 -3.66 -3.96 -5.00 -6.09 -5.71 -4.19 -3.88 -6.82 -4.36 -10.69 -4.13 -2.59 -10.07 -5.55 -4.74 -6.03 -8.51 -2.56 -6.32 -7.08 -3.94 -4.57 -6.32